[1]
Below is Nd2DyPuSb4 after structural relaxation, with properties calculated at the PBE level.

Lattice parameters (Å, degrees): 4.474 7.727 7.727 109.47 90.00 90.00
Last column: magnetic moment on the atom in μB.
Element x y z (fractional)
Nd  0.500  0.000  0.500  0.01
Nd  0.000  0.500  0.500  -0.02
Dy  0.500  0.500  0.000  -0.01
Pu  0.000  0.000  0.000  5.18
Sb  0.500  0.248  0.241  -0.06
Sb  0.500  0.752  0.759  -0.06
Sb  0.000  0.253  0.759  -0.04
Sb  0.000  0.747  0.241  -0.04

Results
Energy ... -6.637 eV per atom
Density ... 7.794 g/cm3
DOS at the Fermi energy ... 2.1086 states/eV/atom
Formation energy from raw total energies ... -98.1 kJ per mole of atoms
Magnetization ... 0.627 μB per atom
Space-group type ... P2/m (10)

=====

[2]
Below is Nd3Dy2PuSe6 after structural relaxation, with properties calculated at the PBE level.

Lattice parameters (Å, degrees): 4.131 8.388 9.330 103.47 102.79 90.00
Last column: magnetic moment on the atom in μB.
Element x y z (fractional)
Nd  0.500  0.500  0.000  0.00
Nd  0.835  0.165  0.670  0.01
Nd  0.165  0.835  0.330  0.01
Dy  0.836  0.671  0.672  0.04
Dy  0.164  0.329  0.328  0.04
Pu  0.500  0.000  0.000  5.45
Se  0.334  0.908  0.668  -0.01
Se  0.671  0.575  0.342  0.01
Se  0.666  0.092  0.332  -0.01
Se  0.003  0.246  0.006  -0.03
Se  0.997  0.754  0.994  -0.03
Se  0.329  0.425  0.658  0.01

Results
Energy ... -6.672 eV per atom
Density ... 8.004 g/cm3
DOS at the Fermi energy ... 0.7739 states/eV/atom
Formation energy from raw total energies ... -171.4 kJ per mole of atoms
Magnetization ... 0.494 μB per atom
Space-group type ... C2/m (12)

=====

[3]
Below is NdDy3Pu2Se6 after structural relaxation, with properties calculated at the PBE level.

Lattice parameters (Å, degrees): 7.121 7.121 7.184 99.51 99.51 120.06
Last column: magnetic moment on the atom in μB.
Element x y z (fractional)
Nd  0.000  0.000  0.000  0.06
Dy  0.165  0.835  0.500  0.02
Dy  0.835  0.165  0.500  0.02
Dy  0.500  0.500  0.500  0.01
Pu  0.333  0.667  0.000  5.48
Pu  0.667  0.333  0.000  5.48
Se  0.914  0.576  0.742  -0.03
Se  0.747  0.747  0.257  -0.03
Se  0.086  0.424  0.258  -0.03
Se  0.576  0.914  0.742  -0.03
Se  0.253  0.253  0.743  -0.03
Se  0.424  0.086  0.258  -0.03

Results
Energy ... -7.395 eV per atom
Density ... 8.892 g/cm3
DOS at the Fermi energy ... 1.5766 states/eV/atom
Formation energy from raw total energies ... -165.6 kJ per mole of atoms
Magnetization ... 0.979 μB per atom
Space-group type ... C2/m (12)

=====

- Number 2 is which compound?
  Nd3Dy2PuSe6

=====

- Which value of energy does entry 2 give?
  -6.672 eV per atom

=====

What did the second record say?
Below is Nd3Dy2PuSe6 after structural relaxation, with properties calculated at the PBE level.

Lattice parameters (Å, degrees): 4.131 8.388 9.330 103.47 102.79 90.00
Last column: magnetic moment on the atom in μB.
Element x y z (fractional)
Nd  0.500  0.500  0.000  0.00
Nd  0.835  0.165  0.670  0.01
Nd  0.165  0.835  0.330  0.01
Dy  0.836  0.671  0.672  0.04
Dy  0.164  0.329  0.328  0.04
Pu  0.500  0.000  0.000  5.45
Se  0.334  0.908  0.668  -0.01
Se  0.671  0.575  0.342  0.01
Se  0.666  0.092  0.332  -0.01
Se  0.003  0.246  0.006  -0.03
Se  0.997  0.754  0.994  -0.03
Se  0.329  0.425  0.658  0.01

Results
Energy ... -6.672 eV per atom
Density ... 8.004 g/cm3
DOS at the Fermi energy ... 0.7739 states/eV/atom
Formation energy from raw total energies ... -171.4 kJ per mole of atoms
Magnetization ... 0.494 μB per atom
Space-group type ... C2/m (12)

=====

- Among the records above, which one has the lowest DOS at the Fermi energy?
  Nd3Dy2PuSe6